Material: BaMn2Bi2O7
Method: DFT, PBE+U
State: relaxed

a = 5.813 Å, b = 5.813 Å, c = 8.908 Å
α = 70.96°, β = 70.96°, γ = 60.00°
Last column: magnetic moment on the atom in μB.
Sites, in units of the cell vectors:
O (0.945, 0.562, 0.292)  -0.03
Mn (0.075, 0.075, 0.774)  4.01
O (0.055, 0.799, 0.708)  -0.03
Ba (0.500, 0.500, 0.500)  0.01
O (0.799, 0.438, 0.708)  -0.03
O (0.438, 0.055, 0.708)  -0.03
O (0.201, 0.945, 0.292)  -0.03
O (0.000, 0.000, 0.000)  -0.22
O (0.562, 0.201, 0.292)  -0.03
Bi (0.280, 0.280, 0.160)  0.04
Mn (0.925, 0.925, 0.226)  4.01
Bi (0.720, 0.720, 0.840)  0.04

---

Material: BaMnBiO4
Method: DFT, PBE+U
State: relaxed

a = 6.550 Å, b = 6.128 Å, c = 7.396 Å
α = 90.00°, β = 113.99°, γ = 90.00°
Last column: magnetic moment on the atom in μB.
Sites, in units of the cell vectors:
Ba (0.272, 0.250, 0.022)  -0.01
O (0.519, 0.750, 0.573)  -0.03
O (0.930, 0.009, 0.757)  0.02
O (0.481, 0.250, 0.427)  -0.03
Bi (0.829, 0.750, 0.540)  0.05
O (0.070, 0.509, 0.243)  0.02
O (0.489, 0.750, 0.186)  -0.06
O (0.070, 0.991, 0.243)  0.02
O (0.930, 0.491, 0.757)  0.02
Mn (0.298, 0.750, 0.311)  3.84
Bi (0.171, 0.250, 0.460)  0.05
Mn (0.702, 0.250, 0.689)  3.84
Ba (0.728, 0.750, 0.978)  -0.01
O (0.511, 0.250, 0.814)  -0.06

---

Material: Ba3MnBi2O6
Method: DFT, PBE+U
State: relaxed

a = 6.068 Å, b = 6.068 Å, c = 7.137 Å
α = 90.00°, β = 90.00°, γ = 120.00°
Last column: magnetic moment on the atom in μB.
Sites, in units of the cell vectors:
Bi (0.333, 0.667, 0.134)  0.01
O (0.832, 0.168, 0.682)  -0.01
O (0.168, 0.832, 0.318)  -0.01
Ba (0.333, 0.667, 0.624)  0.00
Ba (0.000, 0.000, 0.000)  -0.02
Ba (0.667, 0.333, 0.376)  0.00
O (0.168, 0.335, 0.318)  -0.01
O (0.832, 0.665, 0.682)  -0.01
O (0.665, 0.832, 0.318)  -0.01
Bi (0.667, 0.333, 0.866)  0.01
O (0.335, 0.168, 0.682)  -0.01
Mn (0.000, 0.000, 0.500)  4.51

---

Number 1: total energy -77.13 eV for the cell shown. Number 2: total energy -89.52 eV for the cell shown. Number 3: total energy -72.14 eV for the cell shown.